No. 1
4
Lattice="-1.352 2.488 5.173 1.352 -2.488 5.173 1.352 2.488 -5.173" Properties=species:S:1:pos:R:3 comment="KOsRu2, relaxed, DFT PBE" e_above_lowest_polymorph_mev_per_atom=393 ef_ev_per_atom=1.139 e_tot_ev_per_atom=-6.581 total_magnetization_mub_per_fu=0.4 pbc="T T T"
K 0.000 0.000 0.000
Os 1.352 0.000 2.953
Ru 0.000 0.000 5.153
Ru 0.000 2.488 2.238

No. 2
4
Lattice="4.340 -1.372 0.000 4.340 1.372 0.000 -0.499 0.000 6.922" Properties=species:S:1:pos:R:3 comment="KOsRu2, relaxed, DFT PBE" e_above_lowest_polymorph_mev_per_atom=143 ef_ev_per_atom=0.889 e_tot_ev_per_atom=-6.831 total_magnetization_mub_per_fu=0.0 pbc="T T T"
K 0.000 0.000 0.000
Os 4.090 0.000 3.461
Ru 1.697 0.000 4.511
Ru 6.483 0.000 2.411